No. 1
A relaxed structure of Mg3Sc3PdPt2, computed with GGA-PBE.

VASP energy: -0.3936 Ry/atom

```
Mg3Sc3PdPt2
1.0
7.267 0.000 0.000
-3.633 6.293 0.000
0.000 0.000 3.772
Mg Sc Pd Pt
3 3 1 2
Direct
0.000 0.254 0.000
0.254 0.000 0.000
0.746 0.746 0.000
0.000 0.586 0.500
0.414 0.414 0.500
0.586 0.000 0.500
0.000 0.000 0.500
0.333 0.667 0.000
0.667 0.333 0.000
```

***

No. 2
A relaxed structure of ScTePbAuS2, computed with GGA-PBE.

VASP energy: -0.3579 Ry/atom

```
ScTePbAuS2
1.0
1.981 -7.052 0.000
1.981 7.052 0.000
0.000 0.000 10.917
Sc Te Pb Au S
2 2 2 2 4
Direct
0.000 0.000 0.000
0.000 0.000 0.500
0.091 0.909 0.750
0.909 0.091 0.250
0.235 0.765 0.250
0.765 0.235 0.750
0.432 0.568 0.750
0.568 0.432 0.250
0.380 0.620 0.540
0.380 0.620 0.960
0.620 0.380 0.040
0.620 0.380 0.460
```

***

No. 3
A relaxed structure of SrDyHg6, computed with GGA-PBE.

VASP energy: -0.0999 Ry/atom

```
SrDyHg6
1.0
6.683 0.000 0.000
-3.341 5.788 0.000
0.000 0.000 5.088
Sr Dy Hg
1 1 6
Direct
0.000 0.000 0.000
0.667 0.333 0.500
0.174 0.348 0.500
0.174 0.826 0.500
0.501 0.001 0.000
0.501 0.499 0.000
0.652 0.826 0.500
0.999 0.499 0.000
```

***

No. 4
A relaxed structure of CsTbRe2O8, computed with GGA-PBE.

VASP energy: -0.5746 Ry/atom

```
CsTbRe2O8
1.0
5.987 0.000 0.000
-2.994 5.185 0.000
0.000 0.000 7.909
Cs Tb Re O
1 1 2 8
Direct
0.000 0.000 0.000
0.000 0.000 0.500
0.333 0.667 0.245
0.667 0.333 0.755
0.171 0.342 0.327
0.171 0.829 0.327
0.333 0.667 0.022
0.342 0.171 0.673
0.658 0.829 0.327
0.667 0.333 0.978
0.829 0.171 0.673
0.829 0.658 0.673
```

***

No. 5
A relaxed structure of Hf2Ag2Bi, computed with GGA-PBE.

Energy above the lowest structure with this stoichiometry: 0.021 eV per atom

```
Hf2Ag2Bi
1.0
3.980 0.000 0.000
0.000 3.980 0.000
0.000 0.000 14.009
Hf Ag Bi
4 4 2
Direct
0.000 0.000 0.105
0.000 0.000 0.895
0.500 0.500 0.395
0.500 0.500 0.605
0.000 0.500 0.250
0.000 0.500 0.750
0.500 0.000 0.250
0.500 0.000 0.750
0.000 0.000 0.500
0.500 0.500 0.000
```

***

No. 6
A relaxed structure of PmPr, computed with GGA-PBE.

DFT formation energy: 0.04 eV/f.u.
Energy above the lowest structure with this stoichiometry: 0.000 eV per atom

```
PmPr
1.0
3.686 0.000 0.000
-1.843 3.192 0.000
0.000 0.000 5.986
Pm Pr
1 1
Direct
0.000 0.000 0.000
0.667 0.333 0.500
```

***

Please write out number 1 again, unchanged.
A relaxed structure of Mg3Sc3PdPt2, computed with GGA-PBE.

VASP energy: -0.3936 Ry/atom

```
Mg3Sc3PdPt2
1.0
7.267 0.000 0.000
-3.633 6.293 0.000
0.000 0.000 3.772
Mg Sc Pd Pt
3 3 1 2
Direct
0.000 0.254 0.000
0.254 0.000 0.000
0.746 0.746 0.000
0.000 0.586 0.500
0.414 0.414 0.500
0.586 0.000 0.500
0.000 0.000 0.500
0.333 0.667 0.000
0.667 0.333 0.000
```